Model i:
# ErTmS2

A relaxed ErTmS2 crystal (PBE, Alexandria).

a = 3.854 Å, b = 3.854 Å, c = 6.661 Å
α = 73.05°, β = 73.05°, γ = 60.20°
Positions (direct):
Er: 0.500 0.500 0.500
Tm: 0.000 0.000 0.000
S: 0.749 0.749 0.752
S: 0.251 0.251 0.248

Properties
DOS at the Fermi energy = 1.5 states/eV/f.u.
size of the total moment = 0.0 μB per cell
SG = C2/m, No. 12

***

Model ii:
# ErTmS2

A relaxed ErTmS2 crystal (PBE, Alexandria).

a = 3.767 Å, b = 3.767 Å, c = 7.036 Å
α = 74.47°, β = 74.47°, γ = 60.00°
Positions (direct):
Er: 0.673 0.673 0.982
Tm: 0.494 0.494 0.517
S: 0.082 0.082 0.754
S: 0.251 0.251 0.247

Properties
DOS at the Fermi energy = 0.7 states/eV/f.u.
size of the total moment = 0.0 μB per cell
SG = R3m, No. 160

***

model i is favored, and the nearest alternative lies 28 meV per atom above it.

***

Model i:
# Er2TmS4

A relaxed Er2TmS4 crystal (PBE, Alexandria).

a = 3.899 Å, b = 6.810 Å, c = 7.559 Å
α = 118.89°, β = 104.94°, γ = 90.00°
Positions (direct):
Er: 0.728 0.736 0.456
Er: 0.272 0.264 0.544
Tm: 0.000 0.000 0.000
S: 0.876 0.190 0.753
S: 0.124 0.810 0.247
S: 0.637 0.274 0.274
S: 0.363 0.726 0.726

Properties
DOS at the Fermi energy = 2.4 states/eV/f.u.
size of the total moment = 0.0 μB per cell
SG = C2/m, No. 12

***

Model ii:
# Er2TmS4

A relaxed Er2TmS4 crystal (PBE, Alexandria).

a = 7.756 Å, b = 7.692 Å, c = 7.692 Å
α = 60.58°, β = 59.72°, γ = 59.72°
Positions (direct):
Er: 0.000 0.000 0.000
Er: 0.000 0.000 0.500
Er: 0.000 0.500 0.500
Er: 0.500 0.000 0.500
Tm: 0.500 0.500 0.000
Tm: 0.000 0.500 0.000
S: 0.253 0.248 0.246
S: 0.747 0.254 0.252
S: 0.253 0.746 0.748
S: 0.747 0.752 0.754
S: 0.757 0.749 0.249
S: 0.756 0.251 0.751
S: 0.244 0.749 0.249
S: 0.243 0.251 0.751

Properties
DOS at the Fermi energy = 1.8 states/eV/f.u.
size of the total moment = 0.0 μB per cell
SG = Imma, No. 74

***

model ii is favored, and the nearest alternative lies 53 meV per atom above it.

***

Model i:
# Er3TmS4

A relaxed Er3TmS4 crystal (PBE, Alexandria).

a = 5.457 Å, b = 5.457 Å, c = 5.457 Å
α = 90.00°, β = 90.00°, γ = 90.00°
Positions (direct):
Er: 0.000 0.500 0.500
Er: 0.500 0.000 0.500
Er: 0.500 0.500 0.000
Tm: 0.000 0.000 0.000
S: 0.500 0.000 0.000
S: 0.000 0.500 0.000
S: 0.000 0.000 0.500
S: 0.500 0.500 0.500

Properties
DOS at the Fermi energy = 4.5 states/eV/f.u.
size of the total moment = 0.0 μB per cell
SG = Pm-3m, No. 221

***

Model ii:
# Er3TmS4

A relaxed Er3TmS4 crystal (PBE, Alexandria).

a = 3.825 Å, b = 6.702 Å, c = 6.702 Å
α = 109.08°, β = 90.00°, γ = 90.00°
Positions (direct):
S: 0.000 0.248 0.248
S: 0.500 0.751 0.249
S: 0.000 0.752 0.752
S: 0.500 0.249 0.751
Tm: 0.500 0.000 0.000
Er: 0.000 0.000 0.500
Er: 0.500 0.500 0.500
Er: 0.000 0.500 0.000

Properties
DOS at the Fermi energy = 4.8 states/eV/f.u.
size of the total moment = 0.0 μB per cell
SG = Cmmm, No. 65

***

model ii is favored, and the nearest alternative lies 10 meV per atom above it.